Below is an optimized crystal structure of ScFeAs2, with properties calculated at the PBE-GGA level.

```
ScFeAs2
1.0
-0.7757 -2.3192 2.1597
0.1013 -1.5042 -2.8934
6.3319 -1.2879 0.8913
As Fe Sc
2 1 1
Direct
0.0000 0.0000 0.4689 As
0.0000 0.0000 0.0311 As
0.5000 0.5000 0.2500 Fe
0.5000 0.5000 0.7500 Sc
```

Values from the calculation:
Energy above the most stable polymorph in this dataset ... 207 meV per atom
Energy of formation ... -0.349 eV/atom
Energy ... -25.49 eV per cell
Crystal system ... orthorhombic